[1]
## CrCd2P (PBE)

Data for a relaxed CrCd2P crystal.

Summary:
Final energy: -3.76 eV per atom
Space-group type: Cmmm, No. 65

Cell: 3.0460 3.0460 8.2890 Å, 90.00 90.00 90.32°
Site moments in Bohr magnetons follow the coordinates.
Fractional positions:
1 Cd 0.0000 0.0000 0.0055  -0.02
2 Cd 0.0000 0.0000 0.4945  -0.02
3 Cr 0.5000 0.5000 0.2500  3.66
4 P 0.5000 0.5000 0.7500  0.02

[2]
## YHgO3 (PBE)

Data for a relaxed YHgO3 crystal.

Summary:
Final energy: -5.51 eV per atom
Space-group type: Pm-3m, No. 221
Raw formation energy: -1.18 eV per atom

Cell: 4.3335 4.3335 4.3335 Å, 90.00 90.00 90.00°
Site moments in Bohr magnetons follow the coordinates.
Fractional positions:
1 Y 0.0000 0.0000 0.0000  -0.01
2 Hg 0.5000 0.5000 0.5000  0.05
3 O 0.0000 0.5000 0.0000  -0.32
4 O 0.0000 0.0000 0.5000  -0.43
5 O 0.5000 0.0000 0.0000  -0.28

[3]
## TbB2C (PBE)

Data for a relaxed TbB2C crystal.

Summary:
Final energy: -6.98 eV per atom
Space-group type: P2_1/m, No. 11

Cell: 3.0508 4.3737 6.2818 Å, 99.38 90.00 90.00°
Fractional positions:
1 Tb 0.7500 0.4453 0.7553
2 Tb 0.2500 0.5547 0.2447
3 B 0.7500 0.0072 0.0659
4 B 0.2500 0.9928 0.9341
5 B 0.7500 0.8713 0.5375
6 B 0.2500 0.1287 0.4625
7 C 0.7500 0.0670 0.3322
8 C 0.2500 0.9330 0.6678

[4]
## CaCu2Ni (PBE)

Data for a relaxed CaCu2Ni crystal.

Summary:
Final energy: -3.90 eV per atom
Offset from the most stable computed form: 235 meV per atom
Space-group type: Pmm2, No. 25

Cell: 3.3481 2.9990 7.0141 Å, 64.64 90.00 90.00°
Fractional positions:
1 Ni 0.0000 0.5561 0.4435
2 Ca 0.5000 0.7609 0.7397
3 Cu 0.0000 0.9384 0.0617
4 Cu 0.5000 0.2445 0.2551

[5]
## TaTcMoRu (PBE)

Data for a relaxed TaTcMoRu crystal.

Summary:
Final energy: -10.66 eV per atom
Space-group type: F-43m, No. 216

Cell: 4.4543 4.4543 4.4543 Å, 60.00 60.00 60.00°
Fractional positions:
1 Ru 0.7500 0.7500 0.7500
2 Mo 0.5000 0.5000 0.5000
3 Tc 0.2500 0.2500 0.2500
4 Ta 0.0000 0.0000 0.0000

[6]
## LuBePt2 (PBE)

Data for a relaxed LuBePt2 crystal.

Summary:
Final energy: -5.99 eV per atom
Offset from the most stable computed form: 0 meV per atom
Space-group type: R-3m, No. 166

Cell: 4.0808 4.0808 5.3316 Å, 67.50 67.50 60.00°
Fractional positions:
1 Be 0.5000 0.5000 0.5000
2 Lu 0.0000 0.0000 0.0000
3 Pt 0.7855 0.7855 0.6434
4 Pt 0.2145 0.2145 0.3566

[7]
## NpPa2Se3 (PBE)

Data for a relaxed NpPa2Se3 crystal.

Summary:
Final energy: -8.23 eV per atom
Space-group type: Immm, No. 71
Raw formation energy: -1.17 eV per atom

Cell: 4.0566 5.7699 7.0605 Å, 114.12 106.69 90.00°
Site moments in Bohr magnetons follow the coordinates.
Fractional positions:
1 Np 0.5000 0.5000 0.5000  3.95
2 Pa 0.8332 0.8332 0.1664  0.46
3 Pa 0.1668 0.1668 0.8336  0.46
4 Se 0.8352 0.3352 0.1704  -0.03
5 Se 0.1648 0.6648 0.8296  -0.03
6 Se 0.5000 0.0000 0.5000  -0.03

[8]
## Li6SnAu2 (PBE)

Data for a relaxed Li6SnAu2 crystal.

Summary:
Final energy: -2.85 eV per atom
Offset from the most stable computed form: 0 meV per atom
Space-group type: P6/mmm, No. 191

Cell: 2.8817 7.6432 7.6432 Å, 60.00 90.02 90.02°
Fractional positions:
1 Li 0.4987 0.6627 0.0000
2 Li 0.5013 0.0000 0.3373
3 Li 0.5013 0.3373 0.0000
4 Li 0.5000 0.6627 0.3373
5 Li 0.4987 0.0000 0.6627
6 Li 0.5000 0.3373 0.6627
7 Sn 0.0000 0.0000 0.0000
8 Au 0.0000 0.3333 0.3333
9 Au 0.0000 0.6667 0.6667

[9]
## PmSmEr3 (PBE)

Data for a relaxed PmSmEr3 crystal.

Summary:
Final energy: -4.25 eV per atom
Offset from the most stable computed form: 371 meV per atom
Space-group type: P2_1/m, No. 11

Cell: 5.6315 6.4035 10.8137 Å, 90.00 90.00 116.00°
Fractional positions:
1 Pm 0.3567 0.2129 0.2500
2 Pm 0.6433 0.7871 0.7500
3 Sm 0.9582 0.4160 0.2500
4 Sm 0.0418 0.5840 0.7500
5 Er 0.8478 0.1968 0.9766
6 Er 0.1522 0.8032 0.0234
7 Er 0.8478 0.1968 0.5234
8 Er 0.1522 0.8032 0.4766
9 Er 0.6647 0.8287 0.2500
10 Er 0.3353 0.1713 0.7500

[10]
## Li2ZnAg2 (PBE)

Data for a relaxed Li2ZnAg2 crystal.

Summary:
Final energy: -2.28 eV per atom
Offset from the most stable computed form: 77 meV per atom
Space-group type: P4/mbm, No. 127

Cell: 7.1287 7.1287 3.3150 Å, 90.00 90.00 90.00°
Fractional positions:
1 Zn 0.0000 0.0000 0.0000
2 Zn 0.5000 0.5000 0.0000
3 Ag 0.3575 0.8575 0.0000
4 Ag 0.8575 0.6425 0.0000
5 Ag 0.6425 0.1425 0.0000
6 Ag 0.1425 0.3575 0.0000
7 Li 0.1578 0.6578 0.5000
8 Li 0.6578 0.8422 0.5000
9 Li 0.8422 0.3422 0.5000
10 Li 0.3422 0.1578 0.5000

[11]
## SrAl2Cu (PBE)

Data for a relaxed SrAl2Cu crystal.

Summary:
Final energy: -3.56 eV per atom
Space-group type: Cm, No. 8

Cell: 4.2839 4.2839 6.3419 Å, 70.35 70.35 59.99°
Fractional positions:
1 Sr 0.7536 0.7536 0.7384
2 Al 0.9543 0.9543 0.1369
3 Al 0.2225 0.2225 0.3328
4 Cu 0.5695 0.5695 0.2919

[12]
## Ba2SrSm (PBE)

Data for a relaxed Ba2SrSm crystal.

Summary:
Final energy: -2.37 eV per atom
Offset from the most stable computed form: 39 meV per atom
Space-group type: Fm-3m, No. 225

Cell: 6.5913 6.5913 6.5913 Å, 60.00 60.00 60.00°
Fractional positions:
1 Sr 0.5000 0.5000 0.5000
2 Ba 0.2500 0.2500 0.2500
3 Ba 0.7500 0.7500 0.7500
4 Sm 0.0000 0.0000 0.0000

[13]
## NaNiAsAu (PBE)

Data for a relaxed NaNiAsAu crystal.

Summary:
Final energy: -4.04 eV per atom
Space-group type: P4/nmm, No. 129

Cell: 3.9319 3.9319 10.1525 Å, 90.00 90.00 90.00°
Fractional positions:
1 Na 0.7500 0.7500 0.2623
2 Na 0.2500 0.2500 0.7377
3 Ni 0.7500 0.2500 0.0000
4 Ni 0.2500 0.7500 0.0000
5 As 0.7500 0.7500 0.8745
6 As 0.2500 0.2500 0.1255
7 Au 0.2500 0.7500 0.5000
8 Au 0.7500 0.2500 0.5000

[14]
## SbOs (PBE)

Data for a relaxed SbOs crystal.

Summary:
Final energy: -6.90 eV per atom
Space-group type: Imma, No. 74
Raw formation energy: 0.77 eV per atom

Cell: 5.8524 5.8524 5.8524 Å, 148.03 135.01 56.25°
Fractional positions:
1 Os 0.0190 0.0190 0.0000
2 Os 0.7310 0.2310 0.5000
3 Sb 0.5116 0.5116 0.0000
4 Sb 0.2384 0.7384 0.5000

[15]
## Ce3GaRu4 (PBE)

Data for a relaxed Ce3GaRu4 crystal.

Summary:
Final energy: -7.54 eV per atom
Space-group type: Imm2, No. 44

Cell: 6.1453 6.1453 6.1453 Å, 84.96 121.80 124.12°
Fractional positions:
1 Ce 0.5971 0.3003 0.8975
2 Ce 0.8700 0.0000 0.8700
3 Ce 0.5971 0.6997 0.2968
4 Ga 0.1870 0.5000 0.6870
5 Ru 0.1004 0.7759 0.8762
6 Ru 0.1004 0.2241 0.3245
7 Ru 0.5901 0.2407 0.3495
8 Ru 0.1088 0.7593 0.3495

[16]
## Pm2YSn2 (PBE)

Data for a relaxed Pm2YSn2 crystal.

Summary:
Final energy: -5.20 eV per atom
Offset from the most stable computed form: 322 meV per atom
Space-group type: C2/c, No. 15

Cell: 8.1137 8.1137 5.9867 Å, 111.52 111.52 96.09°
Fractional positions:
1 Pm 0.7766 0.5546 0.4143
2 Pm 0.4454 0.2234 0.0857
3 Pm 0.5546 0.7766 0.9143
4 Pm 0.2234 0.4454 0.5857
5 Y 0.1166 0.8834 0.2500
6 Y 0.8834 0.1166 0.7500
7 Sn 0.3751 0.6249 0.2500
8 Sn 0.8549 0.1451 0.2500
9 Sn 0.1451 0.8549 0.7500
10 Sn 0.6249 0.3751 0.7500

[17]
## Ca2SbI (PBE)

Data for a relaxed Ca2SbI crystal.

Summary:
Final energy: -3.61 eV per atom
Space-group type: R3m, No. 160
Raw formation energy: -1.19 eV per atom

Cell: 4.5892 4.5892 8.3846 Å, 74.12 74.12 60.00°
Fractional positions:
1 Ca 0.0689 0.0689 0.7933
2 Ca 0.2682 0.2682 0.1955
3 Sb 0.6683 0.6683 0.9951
4 I 0.4946 0.4946 0.5161

[18]
## Cr6ReTc (PBE)

Data for a relaxed Cr6ReTc crystal.

Summary:
Final energy: -10.04 eV per atom
Space-group type: Amm2, No. 38

Cell: 4.1372 5.0828 5.0828 Å, 109.49 90.00 90.00°
Site moments in Bohr magnetons follow the coordinates.
Fractional positions:
1 Cr 0.5000 0.8813 0.6309  0.73
2 Cr 0.5000 0.3691 0.1187  0.73
3 Cr 0.5000 0.3729 0.6271  -0.97
4 Cr 0.0000 0.6167 0.8693  0.75
5 Cr 0.0000 0.1307 0.3833  0.75
6 Cr 0.0000 0.1278 0.8722  -0.99
7 Re 0.0000 0.6237 0.3763  -0.26
8 Tc 0.5000 0.8778 0.1222  -0.25

[19]
## PrPa3Tl4O12 (PBE)

Data for a relaxed PrPa3Tl4O12 crystal.

Summary:
Final energy: -7.56 eV per atom
Space-group type: Im-3m, No. 229
Raw formation energy: -2.45 eV per atom

Cell: 7.7200 7.7200 7.7200 Å, 109.47 109.47 109.47°
Fractional positions:
1 Pr 0.0000 0.0000 0.0000
2 Pa 0.5000 0.0000 0.5000
3 Pa 0.5000 0.5000 0.0000
4 Pa 0.0000 0.5000 0.5000
5 Tl 0.5000 0.5000 0.5000
6 Tl 0.0000 0.0000 0.5000
7 Tl 0.5000 0.0000 0.0000
8 Tl 0.0000 0.5000 0.0000
9 O 0.2500 0.5000 0.7500
10 O 0.7342 0.0000 0.7342
11 O 0.2658 0.0000 0.2658
12 O 0.7500 0.5000 0.2500
13 O 0.7342 0.7342 0.0000
14 O 0.2658 0.2658 0.0000
15 O 0.7500 0.2500 0.5000
16 O 0.2500 0.7500 0.5000
17 O 0.5000 0.2500 0.7500
18 O 0.0000 0.7342 0.7342
19 O 0.5000 0.7500 0.2500
20 O 0.0000 0.2658 0.2658

[20]
## TaWBr2 (PBE)

Data for a relaxed TaWBr2 crystal.

Summary:
Final energy: -6.41 eV per atom
Offset from the most stable computed form: 687 meV per atom
Space-group type: Cm, No. 8
Raw formation energy: 0.63 eV per atom

Cell: 5.5246 5.5246 7.0124 Å, 61.79 61.79 33.03°
Fractional positions:
1 Br 0.0627 0.0627 0.9050
2 Br 0.1846 0.1846 0.3413
3 W 0.7921 0.7921 0.6025
4 Ta 0.4606 0.4606 0.6513